No. 1
Here is HfTi3Se6 after structural relaxation from Alexandria via LeMat-Bulk. Energies are from GGA-PBE.

a = 7.7122 Å, b = 7.7122 Å, c = 7.7122 Å
α = 92.97°, β = 92.97°, γ = 92.97°
Fractional positions:
Hf1 0.0000 0.0000 0.0000
Hf2 0.5000 0.5000 0.5000
Ti1 0.3620 0.9619 0.8226
Ti2 0.9619 0.8226 0.3620
Ti3 0.1774 0.6380 0.0381
Ti4 0.8226 0.3620 0.9619
Ti5 0.0381 0.1774 0.6380
Ti6 0.6380 0.0381 0.1774
Se1 0.3172 0.9471 0.1421
Se2 0.0529 0.8579 0.6828
Se3 0.6461 0.8070 0.4205
Se4 0.8579 0.6828 0.0529
Se5 0.4205 0.6461 0.8070
Se6 0.1930 0.5795 0.3539
Se7 0.8070 0.4205 0.6461
Se8 0.5795 0.3539 0.1930
Se9 0.1421 0.3172 0.9471
Se10 0.3539 0.1930 0.5795
Se11 0.9471 0.1421 0.3172
Se12 0.6828 0.0529 0.8579

## Properties
- E_tot: -64.6 eV/f.u.


No. 2
Here is HfMg2Zn6 after structural relaxation from Alexandria via LeMat-Bulk. Energies are from GGA-PBE.

a = 7.9625 Å, b = 7.9625 Å, c = 7.9625 Å
α = 158.89°, β = 122.43°, γ = 62.02°
Fractional positions:
Hf1 0.0000 0.5000 0.5000
Mg1 0.3519 0.3519 0.0000
Mg2 0.6481 0.6481 0.0000
Zn1 0.9987 0.1713 0.8274
Zn2 0.0013 0.8288 0.1726
Zn3 0.6562 0.8288 0.8274
Zn4 0.3276 0.0000 0.3276
Zn5 0.6724 0.0000 0.6724
Zn6 0.3438 0.1713 0.1726

## Properties
- Formation enthalpy at 0 K: -0.09 eV per atom
- E_tot: -21.6 eV/f.u.


No. 3
Here is Pt2Pb after structural relaxation from Alexandria via LeMat-Bulk. Energies are from GGA-PBE.

a = 5.6742 Å, b = 4.1305 Å, c = 9.7088 Å
α = 90.00°, β = 90.00°, γ = 90.00°
Fractional positions:
Pb1 0.1467 0.2500 0.8916
Pb2 0.3533 0.7500 0.3916
Pb3 0.6467 0.2500 0.6084
Pb4 0.8533 0.7500 0.1084
Pt1 0.1502 0.2500 0.2348
Pt2 0.1380 0.2500 0.5671
Pt3 0.3620 0.7500 0.0671
Pt4 0.3498 0.7500 0.7348
Pt5 0.6502 0.2500 0.2652
Pt6 0.6380 0.2500 0.9329
Pt7 0.8620 0.7500 0.4329
Pt8 0.8498 0.7500 0.7652

## Properties
- Formation enthalpy at 0 K: -0.04 eV per atom
- E_tot: -15.9 eV/f.u.